Material: Na2NbO2
Method: DFT, SCAN
State: single point on PBEsol structure

## Properties
The formation energy without anion corrections comes out at -2.0 eV per formula unit.

Geometry as CIF:
```
data_Na2NbO2
_chemical_formula_sum 'Na4 Nb2 O4'
_space_group_name_H-M_alt 'I 4/m m m'
_space_group_IT_number 139
_space_group_name_Hall '-I 4 2'
_cell_length_a 4.118
_cell_length_b 4.118
_cell_length_c 7.422
_cell_angle_alpha 90.00
_cell_angle_beta 90.00
_cell_angle_gamma 90.00
loop_
_atom_site_label
_atom_site_type_symbol
_atom_site_fract_x
_atom_site_fract_y
_atom_site_fract_z
Na1 Na 0.000 0.000 0.149
Nb1 Nb 0.000 0.000 0.500
O1 O 0.000 0.500 0.250
```

Material: SrAuCl2
Method: DFT, SCAN
State: single point on PBEsol structure

## Properties
The formation energy without anion corrections comes out at -5.4 eV per formula unit. Its relative energy among the computed polymorphs is 0 meV/atom.

Geometry as CIF:
```
data_SrAuCl2
_chemical_formula_sum 'Sr2 Au2 Cl4'
_space_group_name_H-M_alt 'I -4 m 2'
_space_group_IT_number 119
_space_group_name_Hall 'I -4 -2'
_cell_length_a 4.135
_cell_length_b 4.135
_cell_length_c 10.447
_cell_angle_alpha 90.00
_cell_angle_beta 90.00
_cell_angle_gamma 90.00
loop_
_atom_site_label
_atom_site_type_symbol
_atom_site_fract_x
_atom_site_fract_y
_atom_site_fract_z
Sr1 Sr 0.000 0.000 0.000
Au1 Au 0.000 0.500 0.250
Cl1 Cl 0.000 0.000 0.500
Cl2 Cl 0.000 0.500 0.750
```

Material: LiRe2Mo
Method: DFT, SCAN
State: single point on PBEsol structure

## Properties
The value obtained for the energy relative to the elements is 0.3297 eV per atom. Its relative energy among the computed polymorphs is 158 meV/atom.

Geometry as CIF:
```
data_LiRe2Mo
_chemical_formula_sum 'Li2 Re4 Mo2'
_space_group_name_H-M_alt 'I 4/m m m'
_space_group_IT_number 139
_space_group_name_Hall '-I 4 2'
_cell_length_a 3.821
_cell_length_b 3.821
_cell_length_c 7.704
_cell_angle_alpha 90.00
_cell_angle_beta 90.00
_cell_angle_gamma 90.00
loop_
_atom_site_label
_atom_site_type_symbol
_atom_site_fract_x
_atom_site_fract_y
_atom_site_fract_z
Li1 Li 0.000 0.000 0.000
Re1 Re 0.000 0.500 0.250
Mo1 Mo 0.000 0.000 0.500
```

Material: HgSbTe2
Method: DFT, SCAN
State: single point on PBEsol structure

## Properties
The formation energy without anion corrections comes out at -0.2 eV per formula unit. Its relative energy among the computed polymorphs is 0 meV/atom.

Geometry as CIF:
```
data_HgSbTe2
_chemical_formula_sum 'Hg1 Sb1 Te2'
_space_group_name_H-M_alt 'P 4/m m m'
_space_group_IT_number 123
_space_group_name_Hall '-P 4 2'
_cell_length_a 4.331
_cell_length_b 4.331
_cell_length_c 6.146
_cell_angle_alpha 90.00
_cell_angle_beta 90.00
_cell_angle_gamma 90.00
loop_
_atom_site_label
_atom_site_type_symbol
_atom_site_fract_x
_atom_site_fract_y
_atom_site_fract_z
Hg1 Hg 0.000 0.000 0.000
Sb1 Sb 0.500 0.500 0.500
Te1 Te 0.000 0.000 0.500
Te2 Te 0.500 0.500 0.000
```

Material: Sn3AsAu
Method: DFT, SCAN
State: single point on PBEsol structure

## Properties
The value obtained for the energy relative to the elements is 0.7722 eV per atom.

Geometry as CIF:
```
data_Sn3AsAu
_chemical_formula_sum 'Sn3 As1 Au1'
_space_group_name_H-M_alt 'P m -3 m'
_space_group_IT_number 221
_space_group_name_Hall '-P 4 2 3'
_cell_length_a 5.195
_cell_length_b 5.195
_cell_length_c 5.195
_cell_angle_alpha 90.00
_cell_angle_beta 90.00
_cell_angle_gamma 90.00
loop_
_atom_site_label
_atom_site_type_symbol
_atom_site_fract_x
_atom_site_fract_y
_atom_site_fract_z
Sn1 Sn 0.000 0.000 0.500
As1 As 0.000 0.000 0.000
Au1 Au 0.500 0.500 0.500
```

Material: Hg2PtPb
Method: DFT, SCAN
State: single point on PBEsol structure

## Properties
The value obtained for the energy relative to the elements is 0.1551 eV per atom.

Geometry as CIF:
```
data_Hg2PtPb
_chemical_formula_sum 'Hg2 Pt1 Pb1'
_space_group_name_H-M_alt 'P m m m'
_space_group_IT_number 47
_cell_length_a 3.111
_cell_length_b 3.639
_cell_length_c 7.609
_cell_angle_alpha 90.00
_cell_angle_beta 90.00
_cell_angle_gamma 90.00
loop_
_space_group_symop_operation_xyz
'x,y,z'
'-x,-y,-z'
'-x,-y,z'
'x,y,-z'
'x,-y,-z'
'-x,y,z'
'-x,y,-z'
'x,-y,z'
loop_
_atom_site_label
_atom_site_type_symbol
_atom_site_fract_x
_atom_site_fract_y
_atom_site_fract_z
Hg1 Hg 0.000 0.000 0.206
Pt1 Pt 0.500 0.500 0.000
Pb1 Pb 0.500 0.500 0.500
```

Material: Zr2TeSe
Method: DFT, SCAN
State: single point on PBEsol structure

## Properties
The formation energy without anion corrections comes out at -4.6 eV per formula unit. Its relative energy among the computed polymorphs is 0 meV/atom.

Geometry as CIF:
```
data_Zr2TeSe
_chemical_formula_sum 'Zr2 Te1 Se1'
_space_group_name_H-M_alt 'P 4 m m'
_space_group_IT_number 99
_cell_length_a 3.671
_cell_length_b 3.671
_cell_length_c 6.462
_cell_angle_alpha 90.00
_cell_angle_beta 90.00
_cell_angle_gamma 90.00
loop_
_space_group_symop_operation_xyz
'x,y,z'
'-y,x,z'
'-x,-y,z'
'y,-x,z'
'-x,y,z'
'y,x,z'
'x,-y,z'
'-y,-x,z'
loop_
_atom_site_label
_atom_site_type_symbol
_atom_site_fract_x
_atom_site_fract_y
_atom_site_fract_z
Zr1 Zr 0.000 0.000 0.000
Zr2 Zr 0.500 0.500 0.301
Te1 Te 0.500 0.500 0.801
Se1 Se 0.000 0.000 0.430
```

Material: SnHgPbBr2
Method: DFT, SCAN
State: single point on PBEsol structure

## Properties
The formation energy without anion corrections comes out at -0.3 eV per formula unit.

Geometry as CIF:
```
data_SnHgPbBr2
_chemical_formula_sum 'Sn1 Hg1 Pb1 Br2'
_space_group_name_H-M_alt 'P 4/m m m'
_space_group_IT_number 123
_space_group_name_Hall '-P 4 2'
_cell_length_a 5.555
_cell_length_b 5.555
_cell_length_c 5.496
_cell_angle_alpha 90.00
_cell_angle_beta 90.00
_cell_angle_gamma 90.00
loop_
_atom_site_label
_atom_site_type_symbol
_atom_site_fract_x
_atom_site_fract_y
_atom_site_fract_z
Sn1 Sn 0.000 0.000 0.000
Hg1 Hg 0.000 0.000 0.500
Pb1 Pb 0.500 0.500 0.500
Br1 Br 0.000 0.500 0.000
```

Material: In3MoC
Method: DFT, SCAN
State: single point on PBEsol structure

## Properties
The value obtained for the energy relative to the elements is 1.3317 eV per atom.

Geometry as CIF:
```
data_In3MoC
_chemical_formula_sum 'In3 Mo1 C1'
_space_group_name_H-M_alt 'P m -3 m'
_space_group_IT_number 221
_space_group_name_Hall '-P 4 2 3'
_cell_length_a 4.553
_cell_length_b 4.553
_cell_length_c 4.553
_cell_angle_alpha 90.00
_cell_angle_beta 90.00
_cell_angle_gamma 90.00
loop_
_atom_site_label
_atom_site_type_symbol
_atom_site_fract_x
_atom_site_fract_y
_atom_site_fract_z
In1 In 0.000 0.000 0.500
Mo1 Mo 0.500 0.500 0.500
C1 C 0.000 0.000 0.000
```

Material: Re2PtAu
Method: DFT, SCAN
State: single point on PBEsol structure

## Properties
The value obtained for the energy relative to the elements is 0.3440 eV per atom. Its relative energy among the computed polymorphs is 111 meV/atom.

Geometry as CIF:
```
data_Re2PtAu
_chemical_formula_sum 'Re4 Pt2 Au2'
_space_group_name_H-M_alt 'C m m m'
_space_group_IT_number 65
_space_group_name_Hall '-C 2 2'
_cell_length_a 5.426
_cell_length_b 8.203
_cell_length_c 2.700
_cell_angle_alpha 90.00
_cell_angle_beta 90.00
_cell_angle_gamma 90.00
loop_
_atom_site_label
_atom_site_type_symbol
_atom_site_fract_x
_atom_site_fract_y
_atom_site_fract_z
Re1 Re 0.250 0.250 0.000
Pt1 Pt 0.000 0.000 0.500
Au1 Au 0.000 0.500 0.500
```

Material: YHgSb2Br
Method: DFT, SCAN
State: single point on PBEsol structure

## Properties
The formation energy without anion corrections comes out at 2.1 eV per formula unit.

Geometry as CIF:
```
data_YHgSb2Br
_chemical_formula_sum 'Y1 Hg1 Sb2 Br1'
_space_group_name_H-M_alt 'P 4/m m m'
_space_group_IT_number 123
_space_group_name_Hall '-P 4 2'
_cell_length_a 5.360
_cell_length_b 5.360
_cell_length_c 5.482
_cell_angle_alpha 90.00
_cell_angle_beta 90.00
_cell_angle_gamma 90.00
loop_
_atom_site_label
_atom_site_type_symbol
_atom_site_fract_x
_atom_site_fract_y
_atom_site_fract_z
Y1 Y 0.000 0.000 0.000
Hg1 Hg 0.500 0.500 0.000
Sb1 Sb 0.000 0.500 0.500
Br1 Br 0.500 0.500 0.500
```

Material: KCrPt
Method: DFT, SCAN
State: single point on PBEsol structure

## Properties
The value obtained for the energy relative to the elements is 0.5382 eV per atom. Its relative energy among the computed polymorphs is 524 meV/atom.

Geometry as CIF:
```
data_KCrPt
_chemical_formula_sum 'K4 Cr4 Pt4'
_space_group_name_H-M_alt 'F -4 3 m'
_space_group_IT_number 216
_space_group_name_Hall 'F -4 2 3'
_cell_length_a 6.634
_cell_length_b 6.634
_cell_length_c 6.634
_cell_angle_alpha 90.00
_cell_angle_beta 90.00
_cell_angle_gamma 90.00
loop_
_atom_site_label
_atom_site_type_symbol
_atom_site_fract_x
_atom_site_fract_y
_atom_site_fract_z
K1 K 0.000 0.000 0.000
Cr1 Cr 0.000 0.000 0.500
Pt1 Pt 0.250 0.250 0.750
```

no.,energy (eV/atom)
1,-11.202
2,-28.195
3,-44.538
4,-45.036
5,-38.650
6,-70.421
7,-30.835
8,-43.816
9,-27.697
10,-70.042
11,-37.581
12,-31.764